# 1
MnReOs PBE optimized geometry; final energy = -0.7917 Ry/atom; formation energy from the elements = 0.177 eV/atom; density of states at the Fermi level = 2.068 states/eV per cell; SG = I4mm
1.0
-1.379 3.817 2.826
-0.803 0.035 4.880
3.176 -1.424 -3.513
Os Re Mn
1 1 1
Direct
0.339 0.339 0.000
0.660 0.660 0.000
0.001 0.001 0.000

# 2
NaTl2CdBr5 PBE optimized geometry; final energy = -0.1980 Ry/atom; raw formation energy = -0.99 eV/atom; density of states at the Fermi level = 0.000 states/eV per cell; SG = Cmc2_1
1.0
-2.581 1.431 3.135
-0.145 -9.515 1.268
11.917 1.062 9.327
Br Tl Na Cd
10 4 2 2
Direct
0.299 0.599 0.406
0.505 0.009 0.278
0.736 0.473 0.154
0.264 0.527 0.654
0.924 0.848 0.565
0.370 0.740 0.992
0.701 0.401 0.906
0.495 0.991 0.778
0.630 0.260 0.492
0.076 0.152 0.065
0.913 0.827 0.157
0.135 0.271 0.294
0.087 0.173 0.657
0.865 0.729 0.794
0.455 0.911 0.452
0.545 0.089 0.952
0.224 0.447 0.026
0.776 0.553 0.526

# 3
NdDy3Ho8 PBE optimized geometry; final energy = -0.3143 Ry/atom; formation energy from the elements = 0.324 eV/atom; density of states at the Fermi level = 14.783 states/eV per cell; SG = Immm
1.0
8.197 -1.321 -2.237
-5.883 6.139 -1.280
1.189 1.321 8.413
Ho Dy Nd
8 3 1
Direct
0.169 0.749 0.918
0.503 0.247 0.256
0.831 0.251 0.082
0.497 0.753 0.744
0.008 0.753 0.256
0.169 0.251 0.419
0.831 0.749 0.581
0.992 0.247 0.744
0.500 0.245 0.745
0.000 0.500 0.500
0.500 0.755 0.255
0.000 0.000 0.000

| no. | total moment (μB/f.u.) |
| --- | --- |
| 1 | 2.91 |
| 2 | 0.00 |
| 3 | 0.00 |